# Tl2TeWO6 (PBE+U, relaxed)
data_Tl2TeWO6
_chemical_formula_sum 'Tl8 Te4 W4 O24'
_cell_length_a 8.380
_cell_length_b 8.380
_cell_length_c 8.380
_cell_angle_alpha 90.00
_cell_angle_beta 90.00
_cell_angle_gamma 90.00
_symmetry_space_group_name_H-M 'F m -3 m'
_symmetry_Int_Tables_number 225
_symmetry_space_group_name_Hall '-F 4 2 3'
loop_
_atom_site_label
_atom_site_fract_x
_atom_site_fract_y
_atom_site_fract_z
_atom_site_occupancy
Tl1 0.250 0.250 0.250 1
Te1 0.000 0.000 0.000 1
W1 0.000 0.000 0.500 1
O1 0.000 0.000 0.265 1
# raw total energy	-5.699	eV/atom
# density	9212	kg/m3